The following is a GGA-PBE calculation of a relaxed Sb3Ru5 crystal, from the Alexandria database.

Cell: 5.609 5.609 4.231 Å, 90.00 90.00 100.55°
Fractional positions:
Sb (0.000, 0.000, 0.000)
Sb (0.295, 0.705, 0.500)
Sb (0.705, 0.295, 0.500)
Ru (0.000, 0.500, 0.000)
Ru (0.215, 0.215, 0.500)
Ru (0.500, 0.000, 0.000)
Ru (0.500, 0.500, 0.000)
Ru (0.785, 0.785, 0.500)

Values from the calculation:
E above lowest polymorph = 0.000 eV per atom

***

The following is a GGA-PBE calculation of a relaxed MnV6Re5 crystal, from the Alexandria database.

Cell: 7.384 7.384 7.384 Å, 146.38 131.69 60.14°
Fractional positions:
Mn (0.000, 0.000, 0.000)
V (0.083, 0.835, 0.248)
V (0.245, 0.500, 0.745)
V (0.412, 0.165, 0.248)
V (0.588, 0.835, 0.752)
V (0.755, 0.500, 0.255)
V (0.917, 0.165, 0.752)
Re (0.165, 0.665, 0.500)
Re (0.334, 0.334, 0.000)
Re (0.500, 0.000, 0.500)
Re (0.666, 0.666, 0.000)
Re (0.835, 0.335, 0.500)

Values from the calculation:
Energy of formation = -321.7 meV/atom

***

The following is a GGA-PBE calculation of a relaxed BIrC crystal, from the Alexandria database.

Cell: 2.902 2.829 4.053 Å, 90.00 110.69 90.00°
Fractional positions:
B (0.000, 0.000, 0.000)
Ir (0.634, 0.500, 0.275)
C (0.913, 0.500, 0.826)

Values from the calculation:
E above lowest polymorph = 0.243 eV per atom
Energy of formation = 469.0 meV/atom

***

The following is a GGA-PBE calculation of a relaxed BaYIr2 crystal, from the Alexandria database.

Cell: 5.085 5.085 5.085 Å, 60.00 60.00 60.00°
Fractional positions:
Ba (0.000, 0.000, 0.000)
Y (0.500, 0.500, 0.500)
Ir (0.250, 0.250, 0.250)
Ir (0.750, 0.750, 0.750)

Values from the calculation:
E above lowest polymorph = 0.270 eV per atom
Energy of formation = -15.7 meV/atom

***

The following is a GGA-PBE calculation of a relaxed TiFe2Si crystal, from the Alexandria database.

Cell: 3.978 3.978 2.922 Å, 90.00 90.00 90.00°
Fractional positions:
Ti (0.000, 0.000, 0.000)
Fe (0.000, 0.500, 0.500)
Fe (0.500, 0.000, 0.500)
Si (0.500, 0.500, 0.000)

***

The following is a GGA-PBE calculation of a relaxed GdNiTe crystal, from the Alexandria database.

Cell: 4.271 4.271 4.094 Å, 90.00 90.00 120.00°
Fractional positions:
Gd (0.000, 0.000, 0.000)
Ni (0.333, 0.667, 0.531)
Te (0.667, 0.333, 0.497)

***

Taking the records one at a time from the top gives calculated total energy values of -58.0; -130.0; -23.4; -26.2; -32.6; -25.6 eV/cell.